Entry from Alexandria via LeMat-Bulk: an optimized crystal structure of RhC (PBE). Values from VASP.

Quantum ESPRESSO input file:
```
&SYSTEM
  ibrav = 0, nat = 4, ntyp = 2
/
ATOMIC_SPECIES
Rh 102.91 Rh.upf
C 12.01 C.upf
ATOMIC_POSITIONS crystal
Rh 0.2500 0.0000 0.0253
Rh 0.7500 0.0000 0.9747
C 0.2500 0.5000 0.6228
C 0.7500 0.5000 0.3772
CELL_PARAMETERS angstrom
5.9801 0.0000 0.0000
0.0000 3.1057 0.0000
0.0000 0.0000 2.7432
```

Values from the calculation:
- crystal system = orthorhombic
- DFT formation energy (eV/atom) = 1.085
- volume (Å³/cell) = 50.9
- raw total energy (eV per atom) = -7.2030